Record 1
Sr2InRu | meta-GGA SCAN | PBEsol geometry

The space group is Imm2 (No. 44) and the conventional cell measures 3.696, 5.394 and 10.938 Å, with angles of 90.00, 90.00 and 90.00 degrees. Symmetry generates all atoms from Sr at (0.000, 0.000, 0.000), Sr at (0.000, 0.500, 0.196), In at (0.000, 0.500, 0.791) and Ru at (0.000, 0.000, 0.462).

The calculation puts the density of states at the Fermi level at 2.898 states/eV/f.u. Its calculated total energy is -28.13 eV/atom. The value obtained for the magnetization is 0.000 μB per formula unit. Its crystal system is orthorhombic.

Record 2
Sr2InRu | meta-GGA SCAN | PBEsol geometry

The space group is F-43m (No. 216) and the conventional cell measures 7.274, 7.274 and 7.274 Å, with angles of 90.00, 90.00 and 90.00 degrees. Symmetry generates all atoms from Sr at (0.000, 0.000, 0.000), Sr at (0.250, 0.250, 0.250), In at (0.000, 0.000, 0.500) and Ru at (0.250, 0.250, 0.750).

The calculation puts the density of states at the Fermi level at 3.115 states/eV/f.u. Its calculated total energy is -27.95 eV/atom. The value obtained for the magnetization is 1.327 μB per formula unit. Its crystal system is cubic.

Record 3
SrInRu | meta-GGA SCAN | PBEsol geometry

The space group is I4mm (No. 107) and the conventional cell measures 3.539, 3.539 and 11.066 Å, with angles of 90.00, 90.00 and 90.00 degrees. Symmetry generates all atoms from Sr at (0.000, 0.000, 0.000), In at (0.000, 0.000, 0.716) and Ru at (0.000, 0.000, 0.306).

The calculation puts the density of states at the Fermi level at 1.895 states/eV/f.u. Its calculated total energy is -30.10 eV/atom. The value obtained for the magnetization is 0.000 μB per formula unit. Its crystal system is tetragonal.

Record 4
TaIn2Ru | meta-GGA SCAN | PBEsol geometry

The space group is Pmmm (No. 47) and the conventional cell measures 3.110, 4.704 and 4.900 Å, with angles of 90.00, 90.00 and 90.00 degrees. Symmetry generates all atoms from Ta at (0.000, 0.000, 0.000), In at (0.000, 0.500, 0.500), In at (0.500, 0.500, 0.000) and Ru at (0.500, 0.000, 0.500).

Its polymorph energy (0 for the lowest one) is 307 meV/atom. The calculation puts the density of states at the Fermi level at 2.441 states/eV/f.u. The value obtained for the magnetization is 0.000 μB per formula unit. Its crystal system is orthorhombic.

Record 5
TaIn2Ru | meta-GGA SCAN | PBEsol geometry

The space group is Immm (No. 71) and the conventional cell measures 3.058, 4.948 and 9.508 Å, with angles of 90.00, 90.00 and 90.00 degrees. Symmetry generates all atoms from Ta at (0.000, 0.000, 0.000), In at (0.000, 0.500, 0.235) and Ru at (0.000, 0.000, 0.500).

Its polymorph energy (0 for the lowest one) is 273 meV/atom. The calculation puts the density of states at the Fermi level at 2.958 states/eV/f.u. The value obtained for the magnetization is 0.000 μB per formula unit. Its crystal system is orthorhombic.

Record 6
TaIn2Ru | meta-GGA SCAN | PBEsol geometry

The space group is P4/mmm (No. 123) and the conventional cell measures 4.748, 4.748 and 3.117 Å, with angles of 90.00, 90.00 and 90.00 degrees. Symmetry generates all atoms from Ta at (0.000, 0.000, 0.000), In at (0.000, 0.500, 0.500) and Ru at (0.500, 0.500, 0.000).

Its polymorph energy (0 for the lowest one) is 393 meV/atom. The calculation puts the density of states at the Fermi level at 2.959 states/eV/f.u. The value obtained for the magnetization is 0.000 μB per formula unit. Its crystal system is tetragonal.